AlTl2Si | PBE | relaxed

It has space group Immm (No. 71), with a = 3.6461 Å, b = 3.6940 Å, c = 15.3009 Å, α = 90.00°, β = 90.00° and γ = 90.00°. The distinct sites, in fractional coordinates, are Al at (0.0000, 0.0000, 0.0000), Tl at (0.0000, 0.5000, 0.1682) and Si at (0.0000, 0.0000, 0.5000).

Its formation energy without anion corrections is 0.23 eV per atom. The value obtained for the calculated total energy is -25.928 eV for the cell shown. The total moment comes out at 0.000 μB per atom.



AlTl2Si | PBE | relaxed

It has space group Cm (No. 8), with a = 7.2091 Å, b = 4.1513 Å, c = 7.6362 Å, α = 90.00°, β = 108.33° and γ = 90.00°. The distinct sites, in fractional coordinates, are Al at (0.0000, 0.0000, 0.0000), Tl at (0.0497, 0.5000, 0.6476), Tl at (0.2657, 0.5000, 0.2907) and Si at (0.3103, 0.0000, 0.9322).

Its formation energy without anion corrections is 0.18 eV per atom. The value obtained for the calculated total energy is -26.365 eV for the cell shown. The total moment comes out at 0.000 μB per atom.



AlTl2Si | PBE | relaxed

It has space group I-4m2 (No. 119), with a = 5.2482 Å, b = 5.2482 Å, c = 6.9808 Å, α = 90.00°, β = 90.00° and γ = 90.00°. The distinct sites, in fractional coordinates, are Al at (0.0000, 0.0000, 0.0000), Tl at (0.0000, 0.0000, 0.5000), Tl at (0.0000, 0.5000, 0.2500) and Si at (0.0000, 0.5000, 0.7500).

Its formation energy without anion corrections is 0.46 eV per atom. The value obtained for the calculated total energy is -24.105 eV for the cell shown. The total moment comes out at 0.000 μB per atom.



AlTlSi2 | PBE | relaxed

It has space group I-4m2 (No. 119), with a = 4.0818 Å, b = 4.0818 Å, c = 9.4533 Å, α = 90.00°, β = 90.00° and γ = 90.00°. The distinct sites, in fractional coordinates, are Al at (0.0000, 0.0000, 0.0000), Tl at (0.0000, 0.5000, 0.2500), Si at (0.0000, 0.0000, 0.5000) and Si at (0.0000, 0.5000, 0.7500).

Its formation energy without anion corrections is 0.60 eV per atom. The energy above the most stable polymorph in this dataset is 0.3254 eV/atom. The value obtained for the calculated total energy is -29.120 eV for the cell shown. The total moment comes out at 0.000 μB per atom.



AlTlSi2 | PBE | relaxed

It has space group Pmm2 (No. 25), with a = 3.3147 Å, b = 3.3721 Å, c = 7.2330 Å, α = 90.00°, β = 90.00° and γ = 90.00°. The distinct sites, in fractional coordinates, are Al at (0.0000, 0.0000, 0.0000), Tl at (0.5000, 0.5000, 0.6882), Si at (0.0000, 0.0000, 0.3519) and Si at (0.5000, 0.5000, 0.2077).

Its formation energy without anion corrections is 0.34 eV per atom. The energy above the most stable polymorph in this dataset is 0.0642 eV/atom. The value obtained for the calculated total energy is -15.605 eV for the cell shown. The total moment comes out at 0.000 μB per atom.



Al2TlSi | PBE | relaxed

It has space group I-42d (No. 122), with a = 7.6826 Å, b = 7.6826 Å, c = 5.7446 Å, α = 90.00°, β = 90.00° and γ = 90.00°. The distinct sites, in fractional coordinates, are Al at (0.1931, 0.2500, 0.1250), Tl at (0.0000, 0.0000, 0.5000) and Si at (0.0000, 0.0000, 0.0000).

Its formation energy without anion corrections is 0.28 eV per atom. The energy above the most stable polymorph in this dataset is 0.0636 eV/atom. The value obtained for the calculated total energy is -56.549 eV for the cell shown. The total moment comes out at 0.000 μB per atom.



Al2TlSi | PBE | relaxed

It has space group Cmmm (No. 65), with a = 4.6578 Å, b = 4.7581 Å, c = 7.3297 Å, α = 90.00°, β = 90.00° and γ = 90.00°. The distinct sites, in fractional coordinates, are Al at (0.0000, 0.0000, 0.1888), Tl at (0.0000, 0.5000, 0.5000) and Si at (0.0000, 0.5000, 0.0000).

Its formation energy without anion corrections is 0.26 eV per atom. The energy above the most stable polymorph in this dataset is 0.0426 eV/atom. The value obtained for the calculated total energy is -28.443 eV for the cell shown. The total moment comes out at 0.000 μB per atom.



AlTl2Si | PBE | relaxed

It has space group Imm2 (No. 44), with a = 3.2402 Å, b = 5.3834 Å, c = 11.0980 Å, α = 90.00°, β = 90.00° and γ = 90.00°. The distinct sites, in fractional coordinates, are Al at (0.0000, 0.0000, 0.0000), Tl at (0.0000, 0.0000, 0.4394), Tl at (0.0000, 0.5000, 0.2366) and Si at (0.0000, 0.5000, 0.6826).

Its formation energy without anion corrections is 0.36 eV per atom. The value obtained for the calculated total energy is -24.951 eV for the cell shown. The total moment comes out at 0.000 μB per atom.



Al2TlSi | PBE | relaxed

It has space group P2/m (No. 10), with a = 3.0293 Å, b = 3.5764 Å, c = 7.6053 Å, α = 90.00°, β = 98.73° and γ = 90.00°. The distinct sites, in fractional coordinates, are Al at (0.0818, 0.0000, 0.1843), Tl at (0.0000, 0.5000, 0.5000) and Si at (0.5000, 0.5000, 0.0000).

Its formation energy without anion corrections is 0.25 eV per atom. The energy above the most stable polymorph in this dataset is 0.0265 eV/atom. The value obtained for the calculated total energy is -14.286 eV for the cell shown. The total moment comes out at 0.000 μB per atom.



Al3TlSi | PBE | relaxed

It has space group Pm-3m (No. 221), with a = 5.1691 Å, b = 5.1691 Å, c = 5.1691 Å, α = 90.00°, β = 90.00° and γ = 90.00°. The distinct sites, in fractional coordinates, are Al at (0.0000, 0.0000, 0.5000), Tl at (0.0000, 0.0000, 0.0000) and Si at (0.5000, 0.5000, 0.5000).

Its formation energy without anion corrections is 1.22 eV per atom. The energy above the most stable polymorph in this dataset is 0.7339 eV/atom. The value obtained for the calculated total energy is -12.926 eV for the cell shown. The total moment comes out at 0.000 μB per atom.



Al2TlSi | PBE | relaxed

It has space group Cm (No. 8), with a = 8.3423 Å, b = 3.7697 Å, c = 6.0183 Å, α = 90.00°, β = 108.98° and γ = 90.00°. The distinct sites, in fractional coordinates, are Al at (0.0000, 0.0000, 0.0000), Al at (0.2433, 0.0000, 0.7859), Tl at (0.4625, 0.0000, 0.4720) and Si at (0.2165, 0.5000, 0.0765).

Its formation energy without anion corrections is 0.28 eV per atom. The energy above the most stable polymorph in this dataset is 0.0549 eV/atom. The value obtained for the calculated total energy is -28.344 eV for the cell shown. The total moment comes out at 0.000 μB per atom.



AlTl2Si | PBE | relaxed

It has space group Pmmm (No. 47), with a = 3.3798 Å, b = 5.3141 Å, c = 5.3147 Å, α = 90.00°, β = 90.00° and γ = 90.00°. The distinct sites, in fractional coordinates, are Al at (0.0000, 0.0000, 0.0000), Tl at (0.0000, 0.5000, 0.5000), Tl at (0.5000, 0.5000, 0.0000) and Si at (0.5000, 0.0000, 0.5000).

Its formation energy without anion corrections is 0.48 eV per atom. The value obtained for the calculated total energy is -11.998 eV for the cell shown. The total moment comes out at 0.000 μB per atom.